(1)
VASP calculation (GGA-PBE) on a geometry-optimized InNi3 structure.

Summary:
volume = 55 Å³/f.u.
total energy = -0.3475 Ry per atom
SG = P-6m2, No. 187
energy relative to the elements = 0.29 eV per atom

Cell and atoms, written as extended XYZ:
```
4
Lattice="-2.751 0.412 -0.593 1.522 -1.855 -1.527 -1.954 -5.769 5.060" Properties=species:S:1:pos:R:3 pbc="T T T"
Ni -0.977 -2.884 2.530
Ni -1.855 -1.902 0.462
Ni -2.753 -4.555 2.789
In 0.000 0.000 0.000
```

***

(2)
VASP calculation (GGA-PBE) on a geometry-optimized In6Ni7 structure.

Summary:
volume = 207 Å³/f.u.
total energy = -0.3225 Ry per atom
SG = R-3m, No. 166
energy relative to the elements = -0.01 eV per atom

Cell and atoms, written as extended XYZ:
```
13
Lattice="-6.046 -7.035 -0.606 -1.816 -8.512 -3.264 -1.893 -8.894 1.931" Properties=species:S:1:pos:R:3 pbc="T T T"
Ni -4.805 -10.104 0.463
Ni -2.739 -10.826 -0.836
Ni -4.877 -12.220 -0.970
Ni -4.950 -14.337 -2.402
Ni -4.768 -9.918 -2.075
In -3.238 -8.113 -0.644
In -9.206 -23.066 -1.830
Ni -4.987 -14.523 0.136
In -8.161 -20.446 -1.622
In -1.594 -3.994 -0.317
In -6.517 -16.328 -1.295
In -0.549 -1.375 -0.109
Ni -7.016 -13.615 -1.103
```

***

(3)
VASP calculation (GGA-PBE) on a geometry-optimized In5Ni structure.

Summary:
volume = 145 Å³/f.u.
total energy = -0.2332 Ry per atom
SG = Pm, No. 6
energy relative to the elements = 0.07 eV per atom

Cell and atoms, written as extended XYZ:
```
6
Lattice="4.241 0.000 0.484 0.000 4.270 0.000 -0.886 0.000 7.903" Properties=species:S:1:pos:R:3 pbc="T T T"
Ni 2.242 2.135 4.440
In 0.573 0.000 0.223
In 2.428 0.000 2.826
In 1.954 2.135 7.060
In 0.306 2.135 2.585
In 0.030 0.000 5.068
```

***

(4)
VASP calculation (GGA-PBE) on a geometry-optimized In2Ni structure.

Summary:
volume = 67 Å³/f.u.
total energy = -0.2192 Ry per atom
SG = Fd-3m, No. 227
energy relative to the elements = 0.77 eV per atom

Cell and atoms, written as extended XYZ:
```
6
Lattice="4.034 -2.091 -3.517 2.921 -4.726 1.466 -0.912 -4.929 -2.809" Properties=species:S:1:pos:R:3 pbc="T T T"
In 2.216 -3.831 0.126
In 2.772 -2.514 -2.366
In 0.299 -3.933 -2.012
Ni 4.532 -8.809 -3.645
Ni 3.022 -5.873 -2.430
In 0.755 -1.468 -0.608
```

***

(5)
VASP calculation (GGA-PBE) on a geometry-optimized NpInNi structure.

Summary:
volume = 57 Å³/f.u.
total energy = -0.5294 Ry per atom
SG = C2/m, No. 12
excess energy over the best structure of this formula in the dataset = 0 meV per atom
energy relative to the elements = -0.05 eV per atom

Cell and atoms, written as extended XYZ:
```
6
Lattice="3.340 0.144 0.060 1.436 5.467 -0.180 1.569 -0.197 6.311" Properties=species:S:1:pos:R:3 pbc="T T T"
In 2.443 1.415 0.321
Np 3.983 3.505 2.627
Ni 0.793 0.148 1.996
Ni 5.552 5.266 4.194
In 3.902 3.999 5.869
Np 2.361 1.909 3.563
```

***

(6)
VASP calculation (GGA-PBE) on a geometry-optimized NpInNi structure.

Summary:
volume = 57 Å³/f.u.
total energy = -0.5226 Ry per atom
SG = I4mm, No. 107
excess energy over the best structure of this formula in the dataset = 92 meV per atom
energy relative to the elements = 0.04 eV per atom

Cell and atoms, written as extended XYZ:
```
3
Lattice="3.031 0.000 0.000 0.000 3.031 0.000 -1.515 -1.515 6.175" Properties=species:S:1:pos:R:3 pbc="T T T"
Ni 1.515 1.515 2.007
Np 0.000 0.000 3.866
In 0.000 0.000 0.302
```

***

(7)
VASP calculation (GGA-PBE) on a geometry-optimized NpInNi10 structure.

Summary:
volume = 159 Å³/f.u.
total energy = -0.4536 Ry per atom
SG = Pmmm, No. 47
energy relative to the elements = -0.05 eV per atom

Cell and atoms, written as extended XYZ:
```
12
Lattice="3.996 0.000 0.000 0.000 4.794 0.000 0.000 0.000 8.318" Properties=species:S:1:pos:R:3 pbc="T T T"
Np 0.000 0.000 0.000
Ni 1.998 1.185 2.059
Ni 1.998 0.000 4.159
Ni 0.000 0.000 2.800
Ni 0.000 2.397 1.449
Ni 0.000 2.397 6.869
Ni 1.998 3.610 6.259
Ni 1.998 1.185 6.259
Ni 0.000 0.000 5.518
Ni 1.998 3.610 2.059
Ni 1.998 2.397 0.000
In 0.000 2.397 4.159
```

***

(8)
VASP calculation (GGA-PBE) on a geometry-optimized NpInNi4 structure.

Summary:
volume = 88 Å³/f.u.
total energy = -0.4861 Ry per atom
SG = F-43m, No. 216
energy relative to the elements = -0.15 eV per atom

Cell and atoms, written as extended XYZ:
```
6
Lattice="4.993 0.000 0.000 2.496 4.324 0.000 2.496 1.441 4.076" Properties=species:S:1:pos:R:3 pbc="T T T"
Ni 4.993 2.882 0.503
Np 2.496 1.441 1.019
Ni 6.246 3.606 2.550
Ni 3.739 3.606 2.550
Ni 4.993 1.435 2.550
In 0.000 0.000 0.000
```

***

(9)
VASP calculation (GGA-PBE) on a geometry-optimized NpIn2Ni9 structure.

Summary:
volume = 164 Å³/f.u.
total energy = -0.4406 Ry per atom
SG = R-3m, No. 166
energy relative to the elements = -0.12 eV per atom

Cell and atoms, written as extended XYZ:
```
12
Lattice="-3.790 -3.091 0.220 -1.079 -2.254 4.210 -6.391 4.206 3.460" Properties=species:S:1:pos:R:3 pbc="T T T"
Ni -7.094 1.162 3.064
Ni -7.637 0.028 5.184
Np 0.000 0.000 0.000
Ni -3.252 -3.557 2.956
Ni -5.630 -0.570 3.945
In -4.381 1.681 2.624
In -6.880 -2.821 5.267
Ni -4.167 -2.302 4.827
Ni -5.729 1.584 5.073
Ni -8.009 2.417 4.935
Ni -3.623 -1.167 2.707
Ni -5.531 -2.723 2.818
```

***

(10)
VASP calculation (GGA-PBE) on a geometry-optimized Np2In8Ni structure.

Summary:
volume = 262 Å³/f.u.
total energy = -0.3616 Ry per atom
SG = P4/mmm, No. 123
energy relative to the elements = -0.05 eV per atom

Cell and atoms, written as extended XYZ:
```
11
Lattice="4.632 0.000 0.000 0.000 4.632 0.000 0.000 0.000 12.231" Properties=species:S:1:pos:R:3 pbc="T T T"
In 2.316 0.000 6.115
In 0.000 2.316 6.115
Np 0.000 0.000 3.749
In 2.316 0.000 10.752
In 0.000 2.316 1.478
In 0.000 2.316 10.752
In 2.316 0.000 1.478
In 2.316 2.316 3.784
Ni 0.000 0.000 0.000
In 2.316 2.316 8.446
Np 0.000 0.000 8.481
```

***

(11)
VASP calculation (GGA-PBE) on a geometry-optimized NpInNi2 structure.

Summary:
volume = 66 Å³/f.u.
total energy = -0.4977 Ry per atom
SG = P4/mmm, No. 123
energy relative to the elements = 0.04 eV per atom

Cell and atoms, written as extended XYZ:
```
4
Lattice="-0.350 -2.732 1.224 2.165 -1.081 -1.796 4.965 1.611 5.015" Properties=species:S:1:pos:R:3 pbc="T T T"
Ni 1.172 0.380 1.184
In 0.908 -1.907 -0.286
Np 3.390 -1.101 2.221
Ni 3.793 1.231 3.832
```

***

(12)
VASP calculation (GGA-PBE) on a geometry-optimized NpInNi6 structure.

Summary:
volume = 107 Å³/f.u.
total energy = -0.4681 Ry per atom
SG = P-6m2, No. 187
energy relative to the elements = -0.07 eV per atom

Cell and atoms, written as extended XYZ:
```
8
Lattice="4.335 0.000 0.000 0.000 5.345 -0.173 0.000 -2.521 4.716" Properties=species:S:1:pos:R:3 pbc="T T T"
Ni 0.000 0.810 4.302
Ni 0.000 -0.675 1.912
In 2.167 0.755 2.680
Ni 0.000 2.134 1.823
Ni 2.167 4.614 0.281
Ni 2.167 3.425 2.504
Ni 2.167 2.095 0.364
Np 0.000 -1.864 4.308
```